First-principles (PBE-GGA) data for a geometry-optimized LaDy14Mg structure, as listed in Alexandria via LeMat-Bulk.

CIF file:
```
data_LaDy14Mg
_chemical_formula_sum 'La1 Dy14 Mg1'
_cell_length_a 7.059
_cell_length_b 7.059
_cell_length_c 10.029
_cell_angle_alpha 90.00
_cell_angle_beta 90.00
_cell_angle_gamma 89.97
_symmetry_space_group_name_H-M 'P 1'
_symmetry_Int_Tables_number 1
loop_
_symmetry_equiv_pos_as_xyz
'x,y,z'
loop_
_atom_site_label
_atom_site_fract_x
_atom_site_fract_y
_atom_site_fract_z
Dy1 0.625 0.875 0.500
Dy2 0.375 0.125 0.249
Dy3 0.875 0.625 0.249
Dy4 0.375 0.125 0.751
Dy5 0.125 0.375 0.500
Dy6 0.625 0.375 0.000
Dy7 0.875 0.625 0.751
Dy8 0.875 0.125 0.751
Dy9 0.375 0.625 0.249
Dy10 0.375 0.625 0.751
Dy11 0.125 0.875 0.000
Dy12 0.875 0.125 0.249
Dy13 0.625 0.875 0.000
Dy14 0.125 0.375 0.000
Mg1 0.125 0.875 0.500
La1 0.625 0.375 0.500
```

Output
E_tot	-4.416	eV per atom
symmetry	P4/mmm, No. 123
crystal system	tetragonal
DOS at the Fermi energy	16.98	states/eV/f.u.